1.
TlHg2Ge2 | the Alexandria database | PBE | relaxed; energy relative to the elements = 0.225 eV/atom; excess energy over the best structure of this formula in the dataset = 51 meV per atom; magnetic moment = 0.00 μB per cell
1.0
-3.998 -4.370 5.073
5.656 -5.367 -0.167
1.875 1.879 3.096
Hg Tl Ge
4 2 4
direct
0.682 0.818 0.500 Hg
0.818 0.318 0.500 Hg
0.318 0.182 0.500 Hg
0.182 0.682 0.500 Hg
0.000 0.000 0.000 Tl
0.500 0.500 0.000 Tl
0.382 0.882 0.000 Ge
0.882 0.618 0.000 Ge
0.118 0.382 0.000 Ge
0.618 0.118 0.000 Ge



2.
TlHg3Ge | the Alexandria database | PBE | relaxed; energy relative to the elements = 0.659 eV/atom; excess energy over the best structure of this formula in the dataset = 492 meV per atom; magnetic moment = 1.91 μB per cell
1.0
-3.619 -1.518 4.217
-1.078 -4.967 -2.713
4.351 -2.494 2.836
Tl Ge Hg
1 1 3
direct
0.000 0.000 0.000 Tl
0.500 0.500 0.500 Ge
0.000 0.000 0.500 Hg
0.500 0.000 0.000 Hg
0.000 0.500 0.000 Hg



3.
TlHgGe | the Alexandria database | PBE | relaxed; energy relative to the elements = 0.133 eV/atom; excess energy over the best structure of this formula in the dataset = 36 meV per atom; magnetic moment = 0.00 μB per cell
1.0
3.274 -0.043 -0.204
-0.106 6.278 -0.179
-0.576 -2.177 7.972
Tl Ge Hg
2 2 2
direct
0.037 0.049 0.103 Tl
0.560 0.663 0.297 Tl
0.733 0.284 0.455 Ge
0.260 0.051 0.592 Ge
0.440 0.382 0.910 Hg
0.887 0.696 0.731 Hg